The following is a DFT calculation (PBE-GGA) of a relaxed Rb2Tl2O3 crystal.

The structure in POSCAR format:
```
Rb2Tl2O3
1.0
3.9299 0.0000 0.0000
0.0000 6.5425 -0.0798
-1.9649 -2.1899 6.3618
Tl Rb O
2 2 3
Direct
0.1383 0.3646 0.2766 Tl
0.8617 0.6354 0.7234 Tl
0.6222 0.8159 0.2444 Rb
0.3778 0.1841 0.7556 Rb
0.2743 0.7073 0.5485 O
0.7257 0.2927 0.4515 O
0.0000 0.5000 0.0000 O
```

Properties
Uncorrected energy ... -3.9671 eV/atom
E_form (uncorrected) ... -0.8897 eV/atom